Entry 1:
An optimized crystal structure of Tm3Sn2C, computed with PBE-GGA.

As for the crystal system: monoclinic. The size of the total moment is 0.00 μB per atom.

Structure (CIF):
```
data_Tm3Sn2C
_cell_length_a 6.4848
_cell_length_b 6.9401
_cell_length_c 6.9401
_cell_angle_alpha 107.11
_cell_angle_beta 99.66
_cell_angle_gamma 99.66
_space_group_name_H-M_alt 'P 1'
_space_group_IT_number 1
loop_
_space_group_symop_operation_xyz
'x,y,z'
loop_
_atom_site_label
_atom_site_type_symbol
_atom_site_fract_x
_atom_site_fract_y
_atom_site_fract_z
Tm1 Tm 0.0068 0.2641 0.4110
Tm2 Tm 0.5000 0.0000 0.5000
Tm3 Tm 0.5068 0.4110 0.2641
Tm4 Tm 0.9932 0.7359 0.5890
Tm5 Tm 0.0000 0.5000 0.0000
Tm6 Tm 0.4932 0.5890 0.7359
Sn1 Sn 0.2500 0.2005 0.7995
Sn2 Sn 0.2500 0.9389 0.0611
Sn3 Sn 0.7500 0.7995 0.2005
Sn4 Sn 0.7500 0.0611 0.9389
C1 C 0.7500 0.4278 0.5722
C2 C 0.2500 0.5722 0.4278
```

***

Entry 2:
An optimized crystal structure of Tm9Sn3C2, computed with PBE-GGA.

As for the crystal system: trigonal. The size of the total moment is 0.00 μB per atom.

Structure (CIF):
```
data_Tm9Sn3C2
_cell_length_a 6.7863
_cell_length_b 6.7863
_cell_length_c 8.3197
_cell_angle_alpha 90.00
_cell_angle_beta 90.00
_cell_angle_gamma 120.00
_space_group_name_H-M_alt 'P 1'
_space_group_IT_number 1
loop_
_space_group_symop_operation_xyz
'x,y,z'
loop_
_atom_site_label
_atom_site_type_symbol
_atom_site_fract_x
_atom_site_fract_y
_atom_site_fract_z
C1 C 0.6667 0.3333 0.1687
C2 C 0.3333 0.6667 0.8313
Tm1 Tm 0.3379 0.1689 0.3311
Tm2 Tm 0.5000 0.0000 0.0000
Tm3 Tm 0.8311 0.1689 0.3311
Tm4 Tm 0.1689 0.8311 0.6689
Tm5 Tm 0.6621 0.8311 0.6689
Tm6 Tm 0.8311 0.6621 0.3311
Tm7 Tm 0.1689 0.3379 0.6689
Tm8 Tm 0.5000 0.5000 0.0000
Tm9 Tm 0.0000 0.5000 0.0000
Sn1 Sn 0.3333 0.6667 0.3342
Sn2 Sn 0.6667 0.3333 0.6658
Sn3 Sn 0.0000 0.0000 0.0000
```

***

Entry 3:
An optimized crystal structure of Tm8Sn2C3, computed with PBE-GGA.

As for the crystal system: monoclinic. The size of the total moment is 0.00 μB per atom.

Structure (CIF):
```
data_Tm8Sn2C3
_cell_length_a 6.2951
_cell_length_b 7.1581
_cell_length_c 8.2574
_cell_angle_alpha 115.69
_cell_angle_beta 105.37
_cell_angle_gamma 90.00
_space_group_name_H-M_alt 'P 1'
_space_group_IT_number 1
loop_
_space_group_symop_operation_xyz
'x,y,z'
loop_
_atom_site_label
_atom_site_type_symbol
_atom_site_fract_x
_atom_site_fract_y
_atom_site_fract_z
Tm1 Tm 0.9340 0.6000 0.1999
Tm2 Tm 0.6103 0.1503 0.8194
Tm3 Tm 0.0999 0.9070 0.8140
Tm4 Tm 0.3897 0.8497 0.1806
Tm5 Tm 0.0660 0.4000 0.8001
Tm6 Tm 0.6103 0.6691 0.8194
Tm7 Tm 0.3897 0.3309 0.1806
Tm8 Tm 0.9001 0.0930 0.1860
C1 C 0.0000 0.7452 0.0000
C2 C 0.5000 0.0000 0.0000
C3 C 0.0000 0.2548 0.0000
Sn1 Sn 0.6695 0.7450 0.4901
Sn2 Sn 0.3305 0.2550 0.5099
```

***

Entry 4:
An optimized crystal structure of Tm7Sn3C2, computed with PBE-GGA.

The relative energy among the computed polymorphs comes out at 0 meV per atom. As for the crystal system: tetragonal. The size of the total moment is 0.00 μB per atom.

Structure (CIF):
```
data_Tm7Sn3C2
_cell_length_a 4.7693
_cell_length_b 4.7693
_cell_length_c 13.0262
_cell_angle_alpha 100.55
_cell_angle_beta 100.55
_cell_angle_gamma 90.00
_space_group_name_H-M_alt 'P 1'
_space_group_IT_number 1
loop_
_space_group_symop_operation_xyz
'x,y,z'
loop_
_atom_site_label
_atom_site_type_symbol
_atom_site_fract_x
_atom_site_fract_y
_atom_site_fract_z
Sn1 Sn 0.3185 0.3185 0.6369
Sn2 Sn 0.5000 0.5000 0.0000
Sn3 Sn 0.6815 0.6815 0.3631
Tm1 Tm 0.4045 0.9045 0.8090
Tm2 Tm 0.1936 0.1936 0.3873
Tm3 Tm 0.5955 0.0955 0.1910
Tm4 Tm 0.0000 0.0000 0.0000
Tm5 Tm 0.0955 0.5955 0.1910
Tm6 Tm 0.8064 0.8064 0.6127
Tm7 Tm 0.9045 0.4045 0.8090
C1 C 0.9032 0.9032 0.8065
C2 C 0.0968 0.0968 0.1935
```

***

Entry 5:
An optimized crystal structure of Tm7Sn3C2, computed with PBE-GGA.

The relative energy among the computed polymorphs comes out at 39 meV per atom. As for the crystal system: orthorhombic. The size of the total moment is 0.00 μB per atom.

Structure (CIF):
```
data_Tm7Sn3C2
_cell_length_a 4.7252
_cell_length_b 4.8175
_cell_length_c 12.3895
_cell_angle_alpha 101.21
_cell_angle_beta 90.00
_cell_angle_gamma 90.00
_space_group_name_H-M_alt 'P 1'
_space_group_IT_number 1
loop_
_space_group_symop_operation_xyz
'x,y,z'
loop_
_atom_site_label
_atom_site_type_symbol
_atom_site_fract_x
_atom_site_fract_y
_atom_site_fract_z
Tm1 Tm 0.0000 0.8012 0.6023
Tm2 Tm 0.0000 0.6008 0.2016
Tm3 Tm 0.0000 0.3992 0.7984
Tm4 Tm 0.5000 0.9025 0.8050
Tm5 Tm 0.0000 0.1988 0.3977
Tm6 Tm 0.5000 0.0975 0.1950
Tm7 Tm 0.0000 0.0000 0.0000
Sn1 Sn 0.5000 0.6905 0.3810
Sn2 Sn 0.5000 0.3095 0.6190
Sn3 Sn 0.5000 0.5000 0.0000
C1 C 0.0000 0.0997 0.1995
C2 C 0.0000 0.9003 0.8005
```

***

Entry 6:
An optimized crystal structure of Tm2SnC, computed with PBE-GGA.

As for the crystal system: trigonal. The size of the total moment is 0.00 μB per atom.

Structure (CIF):
```
data_Tm2SnC
_cell_length_a 3.5328
_cell_length_b 3.5329
_cell_length_c 7.8952
_cell_angle_alpha 90.00
_cell_angle_beta 90.00
_cell_angle_gamma 120.00
_space_group_name_H-M_alt 'P 1'
_space_group_IT_number 1
loop_
_space_group_symop_operation_xyz
'x,y,z'
loop_
_atom_site_label
_atom_site_type_symbol
_atom_site_fract_x
_atom_site_fract_y
_atom_site_fract_z
Tm1 Tm 0.3333 0.1667 0.1676
Tm2 Tm 0.6667 0.8333 0.8324
Sn1 Sn 0.0000 0.5000 0.5000
C1 C 0.0000 0.5000 0.0000
```

***

Entry 7:
An optimized crystal structure of Tm3SnC, computed with PBE-GGA.

As for the crystal system: cubic. The size of the total moment is 0.00 μB per atom.

Structure (CIF):
```
data_Tm3SnC
_cell_length_a 5.5282
_cell_length_b 5.5282
_cell_length_c 5.5282
_cell_angle_alpha 90.00
_cell_angle_beta 90.00
_cell_angle_gamma 90.00
_space_group_name_H-M_alt 'P 1'
_space_group_IT_number 1
loop_
_space_group_symop_operation_xyz
'x,y,z'
loop_
_atom_site_label
_atom_site_type_symbol
_atom_site_fract_x
_atom_site_fract_y
_atom_site_fract_z
Tm1 Tm 0.0000 0.5000 0.5000
Tm2 Tm 0.5000 0.0000 0.5000
Tm3 Tm 0.5000 0.5000 0.0000
C1 C 0.0000 0.0000 0.0000
Sn1 Sn 0.5000 0.5000 0.5000
```

***

Entry 8:
An optimized crystal structure of YTm2SnC, computed with PBE-GGA.

As for the crystal system: tetragonal. The size of the total moment is 0.00 μB per atom.

Structure (CIF):
```
data_YTm2SnC
_cell_length_a 4.8906
_cell_length_b 4.8136
_cell_length_c 4.8136
_cell_angle_alpha 90.00
_cell_angle_beta 90.00
_cell_angle_gamma 90.00
_space_group_name_H-M_alt 'P 1'
_space_group_IT_number 1
loop_
_space_group_symop_operation_xyz
'x,y,z'
loop_
_atom_site_label
_atom_site_type_symbol
_atom_site_fract_x
_atom_site_fract_y
_atom_site_fract_z
Tm1 Tm 0.0000 0.5000 0.0000
Tm2 Tm 0.0000 0.0000 0.5000
C1 C 0.0000 0.0000 0.0000
Y1 Y 0.5000 0.0000 0.0000
Sn1 Sn 0.5000 0.5000 0.5000
```

***

Entry 9:
An optimized crystal structure of YTm3Sn2C, computed with PBE-GGA.

As for the crystal system: orthorhombic. The size of the total moment is 0.00 μB per atom.

Structure (CIF):
```
data_YTm3Sn2C
_cell_length_a 4.7801
_cell_length_b 4.7319
_cell_length_c 8.5569
_cell_angle_alpha 106.05
_cell_angle_beta 106.22
_cell_angle_gamma 90.00
_space_group_name_H-M_alt 'P 1'
_space_group_IT_number 1
loop_
_space_group_symop_operation_xyz
'x,y,z'
loop_
_atom_site_label
_atom_site_type_symbol
_atom_site_fract_x
_atom_site_fract_y
_atom_site_fract_z
Tm1 Tm 0.1581 0.1581 0.3162
Tm2 Tm 0.0000 0.5000 0.0000
Tm3 Tm 0.8419 0.8419 0.6838
Sn1 Sn 0.3584 0.3584 0.7167
Sn2 Sn 0.6416 0.6416 0.2833
C1 C 0.0000 0.0000 0.0000
Y1 Y 0.5000 0.0000 0.0000
```

***

Entry 10:
An optimized crystal structure of USnC, computed with PBE-GGA.

As for the crystal system: orthorhombic. The size of the total moment is 0.49 μB per atom.

Structure (CIF):
```
data_USnC
_cell_length_a 3.6259
_cell_length_b 3.1088
_cell_length_c 10.8700
_cell_angle_alpha 81.78
_cell_angle_beta 90.00
_cell_angle_gamma 90.00
_space_group_name_H-M_alt 'P 1'
_space_group_IT_number 1
loop_
_space_group_symop_operation_xyz
'x,y,z'
loop_
_atom_site_label
_atom_site_type_symbol
_atom_site_fract_x
_atom_site_fract_y
_atom_site_fract_z
U1 U 0.7500 0.0598 0.8805
U2 U 0.2500 0.9402 0.1195
Sn1 Sn 0.2500 0.2985 0.4030
Sn2 Sn 0.7500 0.7015 0.5970
C1 C 0.7500 0.4527 0.0945
C2 C 0.2500 0.5473 0.9055
```

***

Entry 11:
An optimized crystal structure of V2SnC, computed with PBE-GGA.

As for the crystal system: monoclinic. The size of the total moment is 0.00 μB per atom.

Structure (CIF):
```
data_V2SnC
_cell_length_a 3.1134
_cell_length_b 3.1082
_cell_length_c 6.8578
_cell_angle_alpha 102.42
_cell_angle_beta 90.00
_cell_angle_gamma 120.06
_space_group_name_H-M_alt 'P 1'
_space_group_IT_number 1
loop_
_space_group_symop_operation_xyz
'x,y,z'
loop_
_atom_site_label
_atom_site_type_symbol
_atom_site_fract_x
_atom_site_fract_y
_atom_site_fract_z
V1 V 0.7132 0.9264 0.6480
V2 V 0.2868 0.0736 0.3520
Sn1 Sn 0.5000 0.5000 0.0000
C1 C 0.0000 0.5000 0.5000
```

***

Entry 12:
An optimized crystal structure of VSnC, computed with PBE-GGA.

As for the crystal system: orthorhombic. The size of the total moment is 0.24 μB per atom.

Structure (CIF):
```
data_VSnC
_cell_length_a 5.6946
_cell_length_b 3.0971
_cell_length_c 6.6329
_cell_angle_alpha 103.50
_cell_angle_beta 115.42
_cell_angle_gamma 90.00
_space_group_name_H-M_alt 'P 1'
_space_group_IT_number 1
loop_
_space_group_symop_operation_xyz
'x,y,z'
loop_
_atom_site_label
_atom_site_type_symbol
_atom_site_fract_x
_atom_site_fract_y
_atom_site_fract_z
Sn1 Sn 0.2596 0.5000 0.0000
Sn2 Sn 0.7404 0.5000 0.0000
V1 V 0.2158 0.7158 0.4317
V2 V 0.7842 0.2842 0.5683
C1 C 0.3715 0.8715 0.7429
C2 C 0.6285 0.1285 0.2571
```

***

no.,DFT formation energy (eV per atom),final energy (eV for the cell shown)
1,-0.405,-66.15
2,-0.566,-78.62
3,-0.368,-76.23
4,-0.680,-69.91
5,-0.640,-69.44
6,-0.538,-24.32
7,1.506,-19.11
8,-0.660,-31.93
9,-0.662,-41.74
10,0.280,-47.35
11,-0.315,-32.72
12,1.511,-35.62